No. 1
Density functional theory data (PBE-GGA) for an optimized crystal structure of MgCoSe.

- Size of the total moment: 0.5 μB/cell
- Space-group type: P-6m2, No. 187
- Raw total energy: -13.05 eV/cell

a b c (Å): 3.9156 3.9156 3.7744
angles (deg): 90.00 90.00 120.00
Fractional coordinates of all 3 atoms:
Mg 0.0000 0.0000 0.0000
Co 0.3333 0.6667 0.5000
Se 0.6667 0.3333 0.5000

No. 2
Density functional theory data (PBE-GGA) for an optimized crystal structure of Ac2CoAg.

- ΔH_f (0 K): -118 meV/atom
- Size of the total moment: 1.7 μB/cell
- Space-group type: P2_1/m, No. 11

a b c (Å): 6.7255 4.2657 8.9689
angles (deg): 90.00 111.08 90.00
Fractional coordinates of all 8 atoms:
Ac 0.2164 0.2500 0.2033
Ac 0.2422 0.2500 0.6626
Ac 0.7578 0.7500 0.3374
Ac 0.7836 0.7500 0.7967
Co 0.4270 0.7500 0.4827
Co 0.5730 0.2500 0.5173
Ag 0.3446 0.7500 0.9649
Ag 0.6554 0.2500 0.0351

No. 3
Density functional theory data (PBE-GGA) for an optimized crystal structure of Ca2Mo2H.

- Size of the total moment: 0.0 μB/cell
- Space-group type: I4/mmm, No. 139
- Raw total energy: -26.56 eV/cell

a b c (Å): 9.0683 9.0683 9.0683
angles (deg): 157.20 157.20 32.47
Fractional coordinates of all 5 atoms:
Ca 0.1007 0.1007 0.0000
Ca 0.8993 0.8993 0.0000
Mo 0.2500 0.7500 0.5000
Mo 0.7500 0.2500 0.5000
H 0.5000 0.5000 0.0000

No. 4
Density functional theory data (PBE-GGA) for an optimized crystal structure of NaCdIrOs2.

- ΔH_f (0 K): 2646 meV/atom
- Size of the total moment: 2.6 μB/cell
- Space-group type: P4/mmm, No. 123

a b c (Å): 4.5317 4.5317 4.5463
angles (deg): 90.00 90.00 90.00
Fractional coordinates of all 5 atoms:
Na 0.0000 0.0000 0.0000
Cd 0.5000 0.5000 0.5000
Ir 0.0000 0.0000 0.5000
Os 0.0000 0.5000 0.0000
Os 0.5000 0.0000 0.0000